## NaNp2Se6 (PBE)

Data for an optimized crystal structure of NaNp2Se6.

The size of the total moment is 6.2 Bohr magnetons per cell. As for the calculated density: 7.1 Mg/m³. Its total energy is -56.758 eV/f.u. As for the symmetry: Immm (71). The crystal system is orthorhombic.

Unit cell a=10.8473 b=10.8473 c=10.8473 alpha=158.61 beta=150.71 gamma=36.56
Last column: nearest neighbours and their distance in Å.
Element x y z (fractional)
Se: 0.7772 0.7772 0.0000  4 Np 2.87-2.89
Se: 0.6474 0.4015 0.2459  2 Se 2.70-2.79, 2 Np 2.93
Se: 0.3526 0.5985 0.7541  2 Se 2.70-2.79, 2 Np 2.93
Se: 0.1556 0.4015 0.7541  2 Se 2.70-2.79, 2 Np 2.93
Se: 0.8444 0.5985 0.2459  2 Se 2.70-2.79, 2 Np 2.93
Se: 0.2228 0.2228 0.0000  4 Np 2.87-2.89
Na: 0.0000 0.0000 0.0000  8 Se 3.18
Np: 0.3220 0.8220 0.5000  8 Se 2.87-2.93
Np: 0.6780 0.1780 0.5000  8 Se 2.87-2.93

***

## LuIn2Mo (PBE)

Data for an optimized crystal structure of LuIn2Mo.

The size of the total moment is 0.0 Bohr magnetons per cell. As for the calculated density: 9.8 Mg/m³. Its total energy is -19.401 eV/f.u. As for the symmetry: F-43m (216). The crystal system is cubic.

Unit cell a=4.9385 b=4.9385 c=4.9385 alpha=60.00 beta=60.00 gamma=60.00
Last column: nearest neighbours and their distance in Å.
Element x y z (fractional)
Lu: 0.7500 0.7500 0.7500  4 In 3.02, 4 Mo 3.02
In: 0.5000 0.5000 0.5000  4 In 3.02, 4 Lu 3.02
In: 0.2500 0.2500 0.2500  4 In 3.02, 4 Mo 3.02
Mo: 0.0000 0.0000 0.0000  4 Lu 3.02, 4 In 3.02

***

## LiAgPtSe3 (PBE)

Data for an optimized crystal structure of LiAgPtSe3.

The size of the total moment is 0.3 Bohr magnetons per cell. As for the calculated density: 7.2 Mg/m³. Its total energy is -23.341 eV/f.u. As for the symmetry: Cmcm (63). The crystal system is orthorhombic.

Unit cell a=6.7288 b=6.7288 c=10.3419 alpha=90.00 beta=90.00 gamma=32.78
Last column: nearest neighbours and their distance in Å.
Element x y z (fractional)
Se: 0.6303 0.6303 0.9923  1 Ag 2.51, 2 Pt 2.54, 1 Li 2.76
Se: 0.3697 0.3697 0.0078  1 Ag 2.51, 2 Pt 2.54, 1 Li 2.76
Se: 0.3697 0.3697 0.4923  1 Ag 2.51, 2 Pt 2.54, 1 Li 2.76
Se: 0.6303 0.6303 0.5077  1 Ag 2.51, 2 Pt 2.54, 1 Li 2.76
Se: 0.0498 0.0498 0.2500  2 Li 2.58, 2 Pt 2.66
Se: 0.9502 0.9502 0.7500  2 Li 2.58, 2 Pt 2.66
Ag: 0.3647 0.3647 0.2500  2 Se 2.51
Ag: 0.6353 0.6353 0.7500  2 Se 2.51
Pt: 0.0000 0.0000 0.5000  6 Se 2.54-2.66
Pt: 0.0000 0.0000 0.0000  6 Se 2.54-2.66
Li: 0.3148 0.3148 0.7500  4 Se 2.58-2.76
Li: 0.6852 0.6852 0.2500  4 Se 2.58-2.76

***

## NpUBe (PBE)

Data for an optimized crystal structure of NpUBe.

The size of the total moment is 0.0 Bohr magnetons per cell. The energy above the most stable polymorph in this dataset comes out at 0 meV per atom. As for the calculated density: 15.4 Mg/m³. Its total energy is -25.936 eV/f.u. As for the symmetry: F-43m (216). The crystal system is cubic.

Unit cell a=4.1962 b=4.1962 c=4.1962 alpha=60.00 beta=60.00 gamma=60.00
Last column: nearest neighbours and their distance in Å.
Element x y z (fractional)
Be: 0.2500 0.2500 0.2500  4 U 2.57
U: 0.0000 0.0000 0.0000  4 Np 2.57, 4 Be 2.57
Np: 0.7500 0.7500 0.7500  4 U 2.57

***

## GdHoCl6 (PBE)

Data for an optimized crystal structure of GdHoCl6.

The size of the total moment is 0.0 Bohr magnetons per cell. As for the calculated density: 3.6 Mg/m³. Its total energy is -38.526 eV/f.u. As for the symmetry: C2 (5). The crystal system is monoclinic.

Unit cell a=6.9028 b=6.9028 c=6.4822 alpha=100.31 beta=100.31 gamma=120.13
Last column: nearest neighbours and their distance in Å.
Element x y z (fractional)
Cl: 0.0623 0.4247 0.7584  1 Ho 2.64, 1 Gd 2.68
Cl: 0.9416 0.5842 0.2406  1 Ho 2.64, 1 Gd 2.68
Cl: 0.2232 0.2184 0.2458  1 Ho 2.63, 1 Gd 2.67
Cl: 0.4158 0.0584 0.7594  1 Ho 2.64, 1 Gd 2.68
Cl: 0.7816 0.7768 0.7542  1 Ho 2.63, 1 Gd 2.67
Cl: 0.5753 0.9377 0.2416  1 Ho 2.64, 1 Gd 2.68
Ho: 0.1654 0.8346 0.0000  6 Cl 2.63-2.64
Gd: 0.8348 0.1652 0.0000  6 Cl 2.67-2.68

***

## CoMo2W (PBE)

Data for an optimized crystal structure of CoMo2W.

The size of the total moment is 1.8 Bohr magnetons per cell. As for the calculated density: 12.2 Mg/m³. Its total energy is -40.887 eV/f.u. As for the symmetry: F-43m (216). The crystal system is cubic. The value obtained for the formation energy is 218.9 meV per atom.

Unit cell a=4.3742 b=4.3742 c=4.3742 alpha=60.00 beta=60.00 gamma=60.00
Last column: nearest neighbours and their distance in Å.
Element x y z (fractional)
Mo: 0.0000 0.0000 0.0000  4 Co 2.68, 4 Mo 2.68
Mo: 0.7500 0.7500 0.7500  4 Mo 2.68, 4 W 2.68
W: 0.5000 0.5000 0.5000  4 Co 2.68, 4 Mo 2.68
Co: 0.2500 0.2500 0.2500  4 W 2.68, 4 Mo 2.68

***

## BeNbSbTe (PBE)

Data for an optimized crystal structure of BeNbSbTe.

The size of the total moment is 1.9 Bohr magnetons per cell. The energy above the most stable polymorph in this dataset comes out at 258 meV per atom. As for the calculated density: 7.1 Mg/m³. Its total energy is -18.019 eV/f.u. As for the symmetry: F-43m (216). The crystal system is cubic.

Unit cell a=4.8876 b=4.8876 c=4.8876 alpha=60.00 beta=60.00 gamma=60.00
Last column: nearest neighbours and their distance in Å.
Element x y z (fractional)
Be: 0.7500 0.7500 0.7500  4 Nb 2.99, 4 Sb 2.99
Nb: 0.5000 0.5000 0.5000  4 Be 2.99, 4 Te 2.99
Te: 0.2500 0.2500 0.2500  4 Sb 2.99, 4 Nb 2.99
Sb: 0.0000 0.0000 0.0000  4 Te 2.99, 4 Be 2.99

***

## HfInNO (PBE)

Data for an optimized crystal structure of HfInNO.

The size of the total moment is 0.0 Bohr magnetons per cell. The energy above the most stable polymorph in this dataset comes out at 811 meV per atom. As for the calculated density: 9.9 Mg/m³. Its total energy is -28.834 eV/f.u. As for the symmetry: P4/nmm (129). The crystal system is tetragonal.

Unit cell a=3.5673 b=3.5673 c=8.4996 alpha=90.00 beta=90.00 gamma=90.00
Last column: nearest neighbours and their distance in Å.
Element x y z (fractional)
O: 0.0000 0.5000 0.0000  4 Hf 2.15
O: 0.5000 0.0000 0.0000  4 Hf 2.15
Hf: 0.0000 0.0000 0.1423  4 O 2.15
Hf: 0.5000 0.5000 0.8577  4 O 2.15
In: 0.0000 0.5000 0.5000  4 In 2.52, 4 N 2.77
In: 0.5000 0.0000 0.5000  4 In 2.52, 4 N 2.77
N: 0.0000 0.0000 0.7495  4 Hf 2.68, 4 In 2.77, 4 O 2.78
N: 0.5000 0.5000 0.2505  4 Hf 2.68, 4 In 2.77, 4 O 2.78

***

## GdSi2OsPd (PBE)

Data for an optimized crystal structure of GdSi2OsPd.

The size of the total moment is 0.0 Bohr magnetons per cell. As for the calculated density: 10.0 Mg/m³. Its total energy is -35.982 eV/f.u. As for the symmetry: I-4m2 (119). The crystal system is tetragonal.

Unit cell a=5.8138 b=5.8138 c=5.8138 alpha=138.77 beta=138.77 gamma=59.73
Last column: nearest neighbours and their distance in Å.
Element x y z (fractional)
Gd: 0.0000 0.0000 0.0000  8 Si 3.14, 4 Os 3.25, 4 Pd 3.25
Si: 0.3797 0.3797 0.0000  1 Si 2.43, 2 Os 2.43, 2 Pd 2.43
Si: 0.6203 0.6203 0.0000  1 Si 2.43, 2 Os 2.43, 2 Pd 2.43
Pd: 0.2500 0.7500 0.5000  4 Si 2.43
Os: 0.7500 0.2500 0.5000  4 Si 2.43

***

## Ba2NdPdPt2Pb3 (PBE)

Data for an optimized crystal structure of Ba2NdPdPt2Pb3.

The size of the total moment is 0.0 Bohr magnetons per cell. As for the calculated density: 10.1 Mg/m³. Its total energy is -43.027 eV/f.u. As for the symmetry: Amm2 (38). The crystal system is orthorhombic.

Unit cell a=4.1621 b=8.4089 c=8.4089 alpha=121.30 beta=90.00 gamma=90.00
Last column: nearest neighbours and their distance in Å.
Element x y z (fractional)
Ba: 0.0000 0.9995 0.4161  4 Pt 3.42-3.46, 6 Pb 3.54-3.71, 1 Pd 3.57
Ba: 0.0000 0.4161 0.9995  4 Pt 3.42-3.46, 6 Pb 3.54-3.71, 1 Pd 3.57
Pt: 0.5000 0.6514 0.3738  2 Pb 2.97-2.98, 2 Nd 2.97
Pt: 0.5000 0.3738 0.6514  2 Pb 2.97-2.98, 2 Nd 2.97
Pb: 0.5000 0.9902 0.7514  2 Pd 2.87, 1 Pt 2.97
Pb: 0.5000 0.2481 0.2481  2 Pt 2.98, 2 Pd 3.02
Pb: 0.5000 0.7514 0.9902  2 Pd 2.87, 1 Pt 2.97
Nd: 0.0000 0.5871 0.5871  4 Pt 2.97, 1 Pd 3.26
Pd: 0.0000 0.9826 0.9826  6 Pb 2.87-3.02

***

## LuHfNiB (PBE)

Data for an optimized crystal structure of LuHfNiB.

The size of the total moment is 0.0 Bohr magnetons per cell. The energy above the most stable polymorph in this dataset comes out at 0 meV per atom. As for the calculated density: 11.1 Mg/m³. Its total energy is -27.039 eV/f.u. As for the symmetry: F-43m (216). The crystal system is cubic.

Unit cell a=4.4666 b=4.4666 c=4.4666 alpha=60.00 beta=60.00 gamma=60.00
Last column: nearest neighbours and their distance in Å.
Element x y z (fractional)
Lu: 0.2500 0.2500 0.2500  4 Ni 2.74, 4 B 2.74
Hf: 0.7500 0.7500 0.7500  4 Ni 2.74, 4 B 2.74
B: 0.0000 0.0000 0.0000  4 Lu 2.74, 4 Hf 2.74
Ni: 0.5000 0.5000 0.5000  4 Hf 2.74, 4 Lu 2.74

***

## CdSiAu2 (PBE)

Data for an optimized crystal structure of CdSiAu2.

As for the calculated density: 11.9 Mg/m³. Its total energy is -11.989 eV/f.u. As for the symmetry: F-43m (216). The crystal system is cubic.

Unit cell a=4.7304 b=4.7304 c=4.7304 alpha=60.00 beta=60.00 gamma=60.00
Last column: nearest neighbours and their distance in Å.
Element x y z (fractional)
Au: 0.7500 0.7500 0.7500  4 Si 2.90, 4 Au 2.90
Au: 0.0000 0.0000 0.0000  4 Cd 2.90, 4 Au 2.90
Cd: 0.2500 0.2500 0.2500  4 Au 2.90, 4 Si 2.90
Si: 0.5000 0.5000 0.5000  4 Cd 2.90, 4 Au 2.90